Record 1
Density functional theory data (PBE-GGA) for a relaxed structure of Mo2OsRh.

## Properties
Fermi-level density of states in states/eV/f.u.: 4.6
Relative energy among the computed polymorphs in eV/atom: 0.188
Mass density in g/cm³: 13.02
Uncorrected energy in eV per cell: -79.583
Space group: Cmcm, No. 63
Total magnetic moment in μB per formula unit: 0.0
Energy of formation from the pure elements in kJ per mole of atoms: 10.9

Cell lengths 4.980, 5.046, 5.046 Å; angles 102.62, 90.00, 90.00 degrees
Atoms (fractional coordinates):
Os 0.500 0.500 0.500
Os 0.000 0.500 0.500
Mo 0.250 0.981 0.380
Mo 0.750 0.019 0.620
Mo 0.250 0.380 0.981
Mo 0.750 0.620 0.019
Rh 0.750 0.131 0.131
Rh 0.250 0.869 0.869

***

Record 2
Density functional theory data (PBE-GGA) for a relaxed structure of Ba2LiSmTe4.

## Properties
ΔE_f (raw) in eV per atom: -1.480
Mass density in g/cm³: 5.27
Uncorrected energy in eV per cell: -34.887
Space group: P2/m, No. 10
Total magnetic moment in μB per formula unit: 0.0

Cell lengths 4.725, 8.154, 8.148 Å; angles 70.95, 90.00, 90.00 degrees
Atoms (fractional coordinates):
Te 0.500 0.283 0.739
Te 0.500 0.717 0.261
Te 0.000 0.717 0.757
Te 0.000 0.283 0.243
Li 0.500 0.500 0.000
Ba 0.500 0.000 0.500
Ba 0.000 0.000 0.000
Sm 0.000 0.500 0.500

***

Record 3
Density functional theory data (PBE-GGA) for a relaxed structure of LaAlRu2.

## Properties
Fermi-level density of states in states/eV/f.u.: 1.8
Mass density in g/cm³: 8.37
Uncorrected energy in eV per cell: -27.575
Space group: P4mm, No. 99
Total magnetic moment in μB per formula unit: 0.0
Energy of formation from the pure elements in kJ per mole of atoms: -8.5

Cell lengths 3.025, 3.025, 7.982 Å; angles 90.00, 90.00, 90.00 degrees
Atoms (fractional coordinates):
La 0.500 0.500 0.759
Ru 0.000 0.000 0.056
Ru 0.500 0.500 0.246
Al 0.000 0.000 0.440

***

Record 4
Density functional theory data (PBE-GGA) for a relaxed structure of RbAcReN4.

## Properties
Fermi-level density of states in states/eV/f.u.: 2.8
ΔE_f (raw) in eV per atom: -0.422
Mass density in g/cm³: 5.52
Uncorrected energy in eV per cell: -107.561
Space group: P2_1/m, No. 11
Total magnetic moment in μB per formula unit: 1.0

Cell lengths 6.636, 6.122, 8.284 Å; angles 90.00, 97.37, 90.00 degrees
Each line ends with the local moment (μB).
Atoms (fractional coordinates):
N 0.900 0.486 0.662  0.17
N 0.541 0.250 0.795  0.20
N 0.100 0.514 0.338  0.17
N 0.100 0.986 0.338  0.17
N 0.423 0.750 0.550  0.25
N 0.459 0.750 0.205  0.20
N 0.577 0.250 0.450  0.25
N 0.900 0.014 0.662  0.17
Rb 0.342 0.250 0.109  0.00
Rb 0.658 0.750 0.891  0.00
Ac 0.783 0.750 0.429  0.01
Ac 0.217 0.250 0.571  0.01
Re 0.728 0.250 0.650  -0.11
Re 0.272 0.750 0.350  -0.11

***

Record 5
Density functional theory data (PBE-GGA) for a relaxed structure of Dy3Y4Pu.

## Properties
Fermi-level density of states in states/eV/f.u.: 18.2
Mass density in g/cm³: 7.11
Uncorrected energy in eV per cell: -52.756
Space group: Immm, No. 71
Total magnetic moment in μB per formula unit: 6.1
Energy of formation from the pure elements in kJ per mole of atoms: 14.9

Cell lengths 3.429, 11.563, 8.792 Å; angles 131.11, 101.25, 90.00 degrees
Each line ends with the local moment (μB).
Atoms (fractional coordinates):
Dy 0.763 0.763 0.525  0.06
Dy 0.000 0.500 0.000  -0.12
Dy 0.237 0.237 0.475  0.06
Y 0.368 0.620 0.737  0.00
Y 0.632 0.380 0.263  0.00
Y 0.632 0.883 0.263  0.00
Y 0.368 0.117 0.737  0.00
Pu 0.500 0.000 0.000  5.71

***

Record 6
Density functional theory data (PBE-GGA) for a relaxed structure of Nd2Dy5Tm3.

## Properties
Fermi-level density of states in states/eV/f.u.: 17.5
Relative energy among the computed polymorphs in eV/atom: 0.000
Mass density in g/cm³: 8.17
Uncorrected energy in eV per cell: -87.989
Space group: C2/c, No. 15
Total magnetic moment in μB per formula unit: 0.0
Energy of formation from the pure elements in kJ per mole of atoms: 19.0

Cell lengths 9.355, 9.415, 11.098 Å; angles 125.17, 125.05, 68.88 degrees
Atoms (fractional coordinates):
Dy 0.476 0.726 0.453
Dy 0.524 0.274 0.547
Dy 0.018 0.768 0.536
Dy 0.279 0.529 0.059
Dy 0.603 0.846 0.232
Dy 0.871 0.614 0.768
Dy 0.129 0.386 0.232
Dy 0.982 0.232 0.464
Dy 0.721 0.471 0.941
Dy 0.397 0.154 0.768
Nd 0.532 0.266 0.252
Nd 0.468 0.734 0.748
Nd 0.779 0.014 0.748
Nd 0.221 0.986 0.252
Tm 0.990 0.222 0.761
Tm 0.226 0.976 0.952
Tm 0.774 0.024 0.048
Tm 0.010 0.778 0.239
Tm 0.730 0.461 0.239
Tm 0.270 0.539 0.761